(a)
{"formula": "NaHfGa", "functional": "PBE-GGA", "state": "relaxed", "lattice": [[4.5714, 0.0000, 0.0000], [-2.2857, 3.9589, 0.0000], [0.0000, 0.0000, 10.6247]], "species": ["Na", "Na", "Hf", "Hf", "Ga", "Ga"], "fractional_positions": [[0.3333, 0.6667, 0.2500], [0.6667, 0.3333, 0.7500], [0.0000, 0.0000, 0.0000], [0.0000, 0.0000, 0.5000], [0.0000, 0.0000, 0.2500], [0.0000, 0.0000, 0.7500]], "space_group": "P6_3/mmc", "crystal_system": "hexagonal", "n_ef_per_ev_atom": 1.5736}


(b)
{"formula": "NaHfGa", "functional": "PBE-GGA", "state": "relaxed", "lattice": [[8.2055, 0.0000, 0.0000], [0.0000, 2.9866, 0.0000], [0.0000, 0.0000, 10.6966]], "species": ["Na", "Na", "Na", "Na", "Hf", "Hf", "Hf", "Hf", "Ga", "Ga", "Ga", "Ga"], "fractional_positions": [[0.1555, 0.2500, 0.0798], [0.3445, 0.7500, 0.5798], [0.6555, 0.2500, 0.4202], [0.8445, 0.7500, 0.9202], [0.0600, 0.2500, 0.3817], [0.4400, 0.7500, 0.8817], [0.5600, 0.2500, 0.1183], [0.9400, 0.7500, 0.6183], [0.1547, 0.2500, 0.7883], [0.3453, 0.7500, 0.2883], [0.6547, 0.2500, 0.7117], [0.8453, 0.7500, 0.2117]], "space_group": "Pnma", "crystal_system": "orthorhombic", "n_ef_per_ev_atom": 0.7384}


Which of them is most stable? Easy: (b).


(a)
{"formula": "NaHf2Ga2", "functional": "PBE-GGA", "state": "relaxed", "lattice": [[8.3816, 0.0000, 0.0000], [0.0000, 8.3816, 0.0000], [0.0000, 0.0000, 2.9922]], "species": ["Na", "Na", "Hf", "Hf", "Hf", "Hf", "Ga", "Ga", "Ga", "Ga"], "fractional_positions": [[0.0000, 0.0000, 0.0000], [0.5000, 0.5000, 0.0000], [0.1310, 0.3690, 0.5000], [0.3690, 0.8690, 0.5000], [0.6310, 0.1310, 0.5000], [0.8690, 0.6310, 0.5000], [0.1658, 0.6658, 0.0000], [0.3342, 0.1658, 0.0000], [0.6658, 0.8342, 0.0000], [0.8342, 0.3342, 0.0000]], "space_group": "P4/mbm", "crystal_system": "tetragonal", "n_ef_per_ev_atom": 0.8088}


(b)
{"formula": "NaHf2Ga2", "functional": "PBE-GGA", "state": "relaxed", "lattice": [[8.4534, 0.0000, 0.0000], [0.0000, 8.4534, 0.0000], [0.0000, 0.0000, 2.9434]], "species": ["Na", "Na", "Hf", "Hf", "Hf", "Hf", "Ga", "Ga", "Ga", "Ga"], "fractional_positions": [[0.0000, 0.0000, 0.0000], [0.5000, 0.5000, 0.0000], [0.1278, 0.3722, 0.0000], [0.3722, 0.8722, 0.0000], [0.6278, 0.1278, 0.0000], [0.8722, 0.6278, 0.0000], [0.1685, 0.6685, 0.5000], [0.3315, 0.1685, 0.5000], [0.6685, 0.8315, 0.5000], [0.8315, 0.3315, 0.5000]], "space_group": "P4/mbm", "crystal_system": "tetragonal", "n_ef_per_ev_atom": 0.6900}


Which of them is most stable? Easy: (a).